This record from Alexandria describes crystalline ZnRe2Br at its relaxed geometry. The functional is PBE-GGA.

Geometry as POSCAR:
```
ZnRe2Br
1.0
2.839 0.000 0.000
0.000 4.814 0.000
0.000 0.000 4.803
Br Re Zn
1 2 1
Cartesian
0.000 2.407 2.401 Br
0.000 0.000 0.000 Re
1.420 2.407 0.000 Re
1.420 0.000 2.401 Zn
```

Output
Crystal system ... orthorhombic
Raw formation energy ... 1.003 eV per atom
Energy above the most stable polymorph in this dataset ... 2.94 eV per formula unit
Calculated total energy ... -23.83 eV for the cell shown



This record from Alexandria describes crystalline Cs3LiF at its relaxed geometry. The functional is PBE-GGA.

Geometry as POSCAR:
```
Cs3LiF
1.0
-3.417 5.283 0.464
-2.116 -0.853 -5.882
-4.863 -3.341 2.234
Cs Li F
3 1 1
Cartesian
-1.058 -0.426 -2.941 Cs
-2.431 -1.671 1.117 Cs
-1.709 2.642 0.232 Cs
-5.198 0.545 -1.592 Li
0.000 0.000 0.000 F
```

Output
Crystal system ... cubic
Raw formation energy ... -0.946 eV per atom
Calculated total energy ... -11.08 eV for the cell shown



This record from Alexandria describes crystalline RbNiS at its relaxed geometry. The functional is PBE-GGA.

Geometry as POSCAR:
```
RbNiS
1.0
-1.435 2.886 2.500
-4.501 -1.354 -0.939
0.140 -3.040 3.709
Rb Ni S
1 1 1
Cartesian
-4.150 -2.465 2.438 Rb
-2.689 1.176 2.306 Ni
-1.971 -0.266 1.055 S
```

Output
Crystal system ... triclinic
Raw formation energy ... -0.479 eV per atom
Calculated total energy ... -12.31 eV for the cell shown



This record from Alexandria describes crystalline Na2YReIr at its relaxed geometry. The functional is PBE-GGA.

Geometry as POSCAR:
```
Na2YReIr
1.0
-3.926 -2.218 3.215
-0.667 -3.567 -3.275
3.832 -3.069 2.562
Y Re Ir Na
1 1 1 2
Cartesian
0.000 0.000 0.000 Y
-0.380 -4.427 1.251 Re
-0.333 -1.784 -1.638 Ir
1.916 -1.534 1.281 Na
-1.963 -1.109 1.607 Na
```

Output
Crystal system ... tetragonal
Calculated total energy ... -20.26 eV for the cell shown
Energy of formation ... 2030 meV per atom